{
  "formula": "Be3Cl",
  "functional": "PBE",
  "state": "optimized geometry",
  "crystal_system": "cubic",
  "space_group": "Pm-3m",
  "vol_a3_per_cell": 50.86,
  "magmom_total_mub_per_fu": 0.000,
  "de_polymorph_mev_per_atom": 1066,
  "raw_formation_energy_ev_per_atom": 1.1229,
  "cell": [[3.705, 0.000, 0.000], [0.000, 3.705, 0.000], [0.000, 0.000, 3.705]],
  "species": ["Be", "Be", "Be", "Cl"],
  "frac_coords": [[0.000, 0.000, 0.500], [0.000, 0.500, 0.000], [0.500, 0.000, 0.000], [0.500, 0.500, 0.500]]
}


{
  "formula": "BeCl5",
  "functional": "PBE",
  "state": "optimized geometry",
  "crystal_system": "orthorhombic",
  "space_group": "Amm2",
  "vol_a3_per_cell": 333.06,
  "magmom_total_mub_per_fu": 0.000,
  "de_polymorph_mev_per_atom": 215,
  "raw_formation_energy_ev_per_atom": -0.3089,
  "cell": [[8.510, 0.000, 0.000], [0.000, 3.166, 0.000], [0.000, 0.000, 12.361]],
  "species": ["Be", "Be", "Cl", "Cl", "Cl", "Cl", "Cl", "Cl", "Cl", "Cl", "Cl", "Cl"],
  "frac_coords": [[0.000, 0.000, 0.000], [0.000, 0.500, 0.500], [0.000, 0.000, 0.383], [0.000, 0.000, 0.617], [0.000, 0.500, 0.117], [0.000, 0.500, 0.883], [0.500, 0.000, 0.214], [0.500, 0.000, 0.548], [0.500, 0.000, 0.880], [0.500, 0.500, 0.048], [0.500, 0.500, 0.380], [0.500, 0.500, 0.714]]
}


{
  "formula": "BeCl",
  "functional": "PBE",
  "state": "optimized geometry",
  "crystal_system": "cubic",
  "space_group": "Pm-3m",
  "vol_a3_per_cell": 27.97,
  "magmom_total_mub_per_fu": 0.000,
  "de_polymorph_mev_per_atom": 1201,
  "raw_formation_energy_ev_per_atom": 0.6337,
  "cell": [[3.035, 0.000, 0.000], [0.000, 3.035, 0.000], [0.000, 0.000, 3.035]],
  "species": ["Be", "Cl"],
  "frac_coords": [[0.000, 0.000, 0.000], [0.500, 0.500, 0.500]]
}


{
  "formula": "BeCl",
  "functional": "PBE",
  "state": "optimized geometry",
  "crystal_system": "trigonal",
  "space_group": "R-3m",
  "vol_a3_per_cell": 91.50,
  "magmom_total_mub_per_fu": 0.000,
  "de_polymorph_mev_per_atom": 1024,
  "raw_formation_energy_ev_per_atom": 0.4571,
  "cell": [[3.277, 0.000, 0.000], [-1.638, 2.838, 0.000], [0.000, 0.000, 9.840]],
  "species": ["Be", "Be", "Be", "Cl", "Cl", "Cl"],
  "frac_coords": [[0.000, 0.000, 0.000], [0.333, 0.667, 0.667], [0.667, 0.333, 0.333], [0.000, 0.000, 0.500], [0.333, 0.667, 0.167], [0.667, 0.333, 0.833]]
}


{
  "formula": "Be3Cl",
  "functional": "PBE",
  "state": "optimized geometry",
  "crystal_system": "tetragonal",
  "space_group": "I4/mmm",
  "vol_a3_per_cell": 271.09,
  "magmom_total_mub_per_fu": 0.000,
  "de_polymorph_mev_per_atom": 331,
  "raw_formation_energy_ev_per_atom": 0.3878,
  "cell": [[2.918, 0.000, 0.000], [0.000, 2.918, 0.000], [0.000, 0.000, 31.840]],
  "species": ["Be", "Be", "Be", "Be", "Be", "Be", "Be", "Be", "Be", "Be", "Be", "Be", "Cl", "Cl", "Cl", "Cl"],
  "frac_coords": [[0.000, 0.000, 0.190], [0.000, 0.000, 0.810], [0.000, 0.500, 0.000], [0.000, 0.500, 0.250], [0.000, 0.500, 0.500], [0.000, 0.500, 0.750], [0.500, 0.000, 0.000], [0.500, 0.000, 0.250], [0.500, 0.000, 0.500], [0.500, 0.000, 0.750], [0.500, 0.500, 0.310], [0.500, 0.500, 0.690], [0.000, 0.000, 0.349], [0.000, 0.000, 0.651], [0.500, 0.500, 0.151], [0.500, 0.500, 0.849]]
}


{
  "formula": "Be3Cl",
  "functional": "PBE",
  "state": "optimized geometry",
  "crystal_system": "monoclinic",
  "space_group": "C2/m",
  "vol_a3_per_cell": 117.07,
  "magmom_total_mub_per_fu": 0.000,
  "de_polymorph_mev_per_atom": 0,
  "raw_formation_energy_ev_per_atom": 0.0570,
  "cell": [[6.428, 0.000, 0.000], [0.000, 3.708, 0.000], [-2.115, 0.000, 4.912]],
  "species": ["Be", "Be", "Be", "Be", "Be", "Be", "Cl", "Cl"],
  "frac_coords": [[0.000, 0.000, 0.000], [0.140, 0.500, 0.919], [0.360, 0.000, 0.081], [0.500, 0.500, 0.000], [0.640, 0.000, 0.919], [0.860, 0.500, 0.081], [0.000, 0.500, 0.500], [0.500, 0.000, 0.500]]
}


Q: Which formula does entry 5 have?
A: Be3Cl